Entry from Alexandria via LeMat-Bulk: crystalline Mn3FePt6 at its relaxed geometry (PBE-GGA).

Its total magnetization is 16.64 μB per formula unit. The final energy is -7.500 eV/atom.

It has space group P2_1/m (No. 11), with a = 7.361 Å, b = 4.519 Å, c = 9.661 Å, α = 90.00°, β = 110.82° and γ = 90.00°. The inequivalent atoms are Mn at (0.091, 0.250, 0.223), Mn at (0.301, 0.250, 0.024), Mn at (0.322, 0.750, 0.373), Fe at (0.104, 0.750, 0.568), Pt at (0.077, 0.250, 0.719), Pt at (0.109, 0.750, 0.074), Pt at (0.278, 0.250, 0.521), Pt at (0.293, 0.750, 0.862), Pt at (0.490, 0.250, 0.829) and Pt at (0.495, 0.250, 0.331).